# PBE TaCd2S, optimized geometry
data_TaCd2S
_cell_length_a 7.9647
_cell_length_b 7.9647
_cell_length_c 5.1322
_cell_angle_alpha 90.00
_cell_angle_beta 90.00
_cell_angle_gamma 90.00
_space_group_name_H-M_alt 'P 1'
_space_group_IT_number 1
_space_group_name_Hall 'P 1'
loop_
_atom_site_label
_atom_site_fract_x
_atom_site_fract_y
_atom_site_fract_z
_atom_site_occupancy
Ta1 0.0000 0.0000 0.0000 1
Ta2 0.0000 0.5000 0.2500 1
Ta3 0.5000 0.0000 0.7500 1
Ta4 0.5000 0.5000 0.5000 1
Cd1 0.2180 0.2500 0.6250 1
Cd2 0.2500 0.7180 0.8750 1
Cd3 0.2500 0.7820 0.3750 1
Cd4 0.2820 0.2500 0.1250 1
Cd5 0.7180 0.7500 0.1250 1
Cd6 0.7500 0.2180 0.3750 1
Cd7 0.7500 0.2820 0.8750 1
Cd8 0.7820 0.7500 0.6250 1
S1 0.0000 0.0000 0.5000 1
S2 0.0000 0.5000 0.7500 1
S3 0.5000 0.0000 0.2500 1
S4 0.5000 0.5000 0.0000 1
# D(E_F) (states/eV/f.u.): 3.63
# SG: I-42d
# Formation energy from raw total energies (eV/f.u.): 1.835
# M_tot (μB/f.u.): 0.0